[1]
DyGe3Rh2, optimized geometry, DFT PBE-GGA; energy relative to the elements = -0.611 eV/atom; electronic total energy = -6.14 eV per atom; crystal system = monoclinic; volume = 215 Å³ per cell; magnetic moment = 0.0 μB/cell; SG = C2/m, No. 12
1.0
7.6542 -2.0818 0.0000
7.6542 2.0818 0.0000
-2.9545 0.0000 6.7340
Dy Ge Rh
2 6 4
direct
0.1277 0.1277 0.1498
0.8723 0.8723 0.8502
0.0362 0.0362 0.6792
0.3202 0.3202 0.1043
0.3322 0.3322 0.5260
0.6678 0.6678 0.4740
0.6798 0.6798 0.8957
0.9638 0.9638 0.3208
0.2093 0.2093 0.7147
0.4968 0.4968 0.1851
0.5032 0.5032 0.8149
0.7907 0.7907 0.2853

***

[2]
BaTaGa2P, optimized geometry, DFT PBE-GGA; energy relative to the elements = 0.346 eV/atom; electronic total energy = -4.70 eV per atom; crystal system = tetragonal; volume = 125 Å³ per cell; magnetic moment = 0.0 μB/cell; SG = P4/mmm, No. 123
1.0
5.1166 0.0000 0.0000
0.0000 5.1166 0.0000
0.0000 0.0000 4.7758
Ba Ta Ga P
1 1 2 1
direct
0.0000 0.0000 0.0000
0.5000 0.5000 0.0000
0.0000 0.5000 0.5000
0.5000 0.0000 0.5000
0.5000 0.5000 0.5000

***

> What is the magnetic moment in the second record?

0.0 μB/cell

***

> Number 1 is which compound?

DyGe3Rh2

***

> Among the records above, which one has the lowest electronic total energy?

DyGe3Rh2